Entry 1:
# MnCoRe2Au

A relaxed MnCoRe2Au crystal (PBEsol, Alexandria via LeMat-Bulk).

Cell: 4.3280 4.3280 4.6141 Å, 90.00 90.00 90.00°
Site moments in Bohr magnetons follow the coordinates.
Fractional coordinates of all 5 atoms:
Mn 0.5000 0.5000 0.5000  3.98
Re 0.0000 0.5000 0.0000  -0.55
Au 0.0000 0.0000 0.5000  -0.01
Co 0.0000 0.0000 0.0000  0.00
Re 0.5000 0.0000 0.0000  -0.55

Density of states at the Fermi level   4.99 states/eV/cell
Formation enthalpy at 0 K   1.610 eV per atom
M_tot   2.96 μB per formula unit
Crystal system   tetragonal
SG   P4/mmm (123)



Entry 2:
# CoMoAu4

A relaxed CoMoAu4 crystal (PBEsol, Alexandria via LeMat-Bulk).

Cell: 5.2730 5.2730 5.2730 Å, 60.00 60.00 60.00°
Site moments in Bohr magnetons follow the coordinates.
Fractional coordinates of all 6 atoms:
Au 0.3751 0.3751 0.8746  -0.05
Au 0.3751 0.8746 0.3751  -0.05
Au 0.3751 0.3751 0.3751  -0.05
Co 0.7500 0.7500 0.7500  1.83
Au 0.8746 0.3751 0.3751  -0.05
Mo 0.0000 0.0000 0.0000  -2.25

Density of states at the Fermi level   8.42 states/eV/cell
Formation enthalpy at 0 K   0.758 eV per atom
M_tot   0.87 μB per formula unit
Crystal system   cubic
SG   F-43m (216)



Entry 3:
# CoMoAu2

A relaxed CoMoAu2 crystal (PBEsol, Alexandria via LeMat-Bulk).

Cell: 2.7078 4.7544 4.7544 Å, 90.00 90.00 90.00°
Site moments in Bohr magnetons follow the coordinates.
Fractional coordinates of all 4 atoms:
Co 0.5000 0.5000 0.5000  1.84
Au 0.0000 0.0000 0.5000  0.02
Au 0.0000 0.5000 0.0000  0.02
Mo 0.5000 0.0000 0.0000  -0.05

Density of states at the Fermi level   2.97 states/eV/cell
Formation enthalpy at 0 K   0.433 eV per atom
M_tot   1.77 μB per formula unit
Crystal system   tetragonal
SG   P4/mmm (123)



Question: Which of these has the lowest formation enthalpy at 0 K?
Answer: CoMoAu2



Question: Among the records above, which one has the highest formation enthalpy at 0 K?
Answer: MnCoRe2Au